1.
This record from the Alexandria database describes YHfP3 after structural relaxation. The functional is PBE.

Results
energy above the most stable polymorph in this dataset	0	meV/atom

```
5
Lattice="4.9190 0.0000 0.0000 0.0000 4.9190 0.0000 0.0000 0.0000 4.9190" Properties=species:S:1:pos:R:3 pbc="T T T"
Y 0.0000 0.0000 0.0000
Hf 2.4595 2.4595 2.4595
P 0.0000 2.4595 2.4595
P 2.4595 0.0000 2.4595
P 2.4595 2.4595 0.0000
```

2.
This record from the Alexandria database describes Y2HfP2 after structural relaxation. The functional is PBE.

```
10
Lattice="7.2997 0.0000 0.0000 0.0000 7.2997 0.0000 0.0000 0.0000 3.8933" Properties=species:S:1:pos:R:3 pbc="T T T"
Y 1.1491 2.5008 0.0000
Y 2.5008 6.1506 0.0000
Y 4.7989 1.1491 0.0000
Y 6.1506 4.7989 0.0000
Hf 0.0000 0.0000 1.9466
Hf 3.6498 3.6498 1.9466
P 1.1153 4.7651 1.9466
P 2.5346 1.1153 1.9466
P 4.7651 6.1844 1.9466
P 6.1844 2.5346 1.9466
```

3.
This record from the Alexandria database describes Y3HfP4 after structural relaxation. The functional is PBE.

```
8
Lattice="3.9348 -5.5413 0.0000 3.9348 5.5413 0.0000 0.0000 0.0000 3.9178" Properties=species:S:1:pos:R:3 pbc="T T T"
Y 0.0000 0.0000 0.0000
Y 1.9674 2.7706 1.9589
Y 1.9674 -2.7706 1.9589
Hf 3.9348 0.0000 0.0000
P 3.9348 2.6854 0.0000
P 2.0777 0.0000 1.9589
P 5.7919 0.0000 1.9589
P 3.9348 -2.6854 0.0000
```

4.
This record from the Alexandria database describes Y3HfP after structural relaxation. The functional is PBE.

Results
energy above the most stable polymorph in this dataset	0	meV/atom

```
5
Lattice="5.2974 0.0000 0.0000 0.0000 5.2974 0.0000 0.0000 0.0000 5.2974" Properties=species:S:1:pos:R:3 pbc="T T T"
Y 0.0000 0.0000 2.6487
Y 0.0000 2.6487 0.0000
Y 2.6487 0.0000 0.0000
Hf 2.6487 2.6487 2.6487
P 0.0000 0.0000 0.0000
```

5.
This record from the Alexandria database describes Y2HfZrP4 after structural relaxation. The functional is PBE.

```
8
Lattice="6.6554 0.0000 0.0000 0.0000 3.8386 0.0000 -2.2236 0.0000 6.3515" Properties=species:S:1:pos:R:3 pbc="T T T"
Y 0.0000 0.0000 0.0000
Y 3.3277 1.9193 0.0000
Hf -1.1118 1.9193 3.1757
Zr 2.2159 0.0000 3.1757
P -0.0191 0.0000 4.6515
P 1.0927 1.9193 1.6889
P 3.3391 1.9193 4.6625
P 4.4509 0.0000 1.7000
```

6.
This record from the Alexandria database describes Hf2ZnP after structural relaxation. The functional is PBE.

```
4
Lattice="1.7823 1.0290 6.8380 -1.7823 1.0290 6.8380 0.0000 -2.0580 6.8380" Properties=species:S:1:pos:R:3 pbc="T T T"
Hf 0.0000 0.0000 4.9374
Hf 0.0000 0.0000 15.5765
Zn 0.0000 0.0000 0.0000
P 0.0000 0.0000 10.2569
```

7.
This record from the Alexandria database describes HfZn2P after structural relaxation. The functional is PBE.

```
8
Lattice="-3.6911 3.6911 2.5447 3.6911 -3.6911 2.5447 3.6911 3.6911 -2.5447" Properties=species:S:1:pos:R:3 pbc="T T T"
Hf 0.0000 0.0000 0.0000
Hf 0.0000 3.6911 1.2724
Zn 1.8456 -1.5267 1.9085
Zn 2.1645 1.8456 0.6362
Zn 1.8456 5.2178 -0.6362
Zn 1.5267 1.8456 3.1809
P 3.6911 0.0000 1.2724
P 0.0000 0.0000 2.5447
```

8.
This record from the Alexandria database describes Hf2ZnP after structural relaxation. The functional is PBE.

```
4
Lattice="0.0000 3.2638 3.2638 3.2638 0.0000 3.2638 3.2638 3.2638 0.0000" Properties=species:S:1:pos:R:3 pbc="T T T"
Hf 1.6319 1.6319 1.6319
Hf 4.8956 4.8956 4.8956
Zn 0.0000 0.0000 0.0000
P 3.2638 3.2638 3.2638
```

| no. | total magnetization (μB/atom) | E_tot (eV/atom) | formation enthalpy at 0 K (eV/atom) |
| --- | --- | --- | --- |
| 1 | 0.000 | -6.859 | -0.329 |
| 2 | 0.000 | -7.891 | -1.150 |
| 3 | 0.000 | -7.913 | -1.540 |
| 4 | 0.654 | -7.131 | -0.180 |
| 5 | 0.000 | -8.101 | -1.468 |
| 6 | 0.000 | -7.312 | -0.664 |
| 7 | 0.000 | -4.670 | -0.193 |
| 8 | 0.000 | -6.991 | -0.344 |